# Nb2ReHPd GGA-PBE relaxed
data_Nb2ReHPd
_chemical_formula_sum 'Nb2 Re1 H1 Pd1'
_symmetry_space_group_name_H-M 'P 1'
_symmetry_Int_Tables_number 1
_cell_length_a 4.208
_cell_length_b 4.208
_cell_length_c 3.847
_cell_angle_alpha 90.00
_cell_angle_beta 90.00
_cell_angle_gamma 90.00
loop_
_symmetry_equiv_pos_as_xyz
'x,y,z'
loop_
_atom_site_label
_atom_site_type_symbol
_atom_site_fract_x
_atom_site_fract_y
_atom_site_fract_z
_atom_site_occupancy
Re1 Re 0.500 0.500 0.500 1
Nb1 Nb 0.000 0.500 0.000 1
Nb2 Nb 0.500 0.000 0.000 1
Pd1 Pd 0.000 0.000 0.500 1
H1 H 0.000 0.000 0.000 1
# ρ in g/cm3: 11.7
# Energy above the lowest structure with this stoichiometry in kJ/mol of formula units: 0
# Spin magnetization in Bohr magnetons per cell: 0.0